The following is a PBE calculation of crystalline Ac2TbNdTe6 at its relaxed geometry, from Alexandria.

Cell and atoms, written as extended XYZ:
```
10
Lattice="4.081 2.356 7.153 -4.081 2.356 7.153 0.000 -4.713 7.153" Properties=species:S:1:pos:R:3 pbc="T T T"
Ac 0.000 0.000 0.000
Ac 0.000 0.000 10.710
Tb 0.000 0.000 15.002
Nd 0.000 0.000 4.297
Te -1.460 -2.696 9.436
Te -2.423 0.214 13.046
Te -1.604 2.613 9.436
Te 1.026 -2.205 13.046
Te 3.065 0.083 9.436
Te 1.397 1.991 13.046
```

Calculated values
DOS at the Fermi energy (states/eV/f.u.): 0.00
Crystal system: trigonal
Space group: R3 (146)
Calculated density (g cm⁻³): 6.13
Energy relative to the elements, uncorrected (eV/atom): -1.450

The following is a PBE calculation of crystalline CaAl2Pt2 at its relaxed geometry, from Alexandria.

Cell and atoms, written as extended XYZ:
```
10
Lattice="7.765 0.000 0.000 0.000 7.765 0.000 0.000 0.000 2.860" Properties=species:S:1:pos:R:3 pbc="T T T"
Ca 0.000 0.000 0.000
Ca 3.883 3.883 0.000
Al 1.112 2.771 1.430
Al 2.771 6.653 1.430
Al 4.994 1.112 1.430
Al 6.653 4.994 1.430
Pt 1.159 5.041 0.000
Pt 2.724 1.159 0.000
Pt 5.041 6.607 0.000
Pt 6.607 2.724 0.000
```

Calculated values
DOS at the Fermi energy (states/eV/f.u.): 2.23
Crystal system: tetragonal
Space group: P4/mbm (127)
Calculated density (g cm⁻³): 9.32
ΔE_f (eV/atom): -0.8595

The following is a PBE calculation of crystalline AcNdScTl at its relaxed geometry, from Alexandria.

Cell and atoms, written as extended XYZ:
```
4
Lattice="0.000 3.931 3.931 3.931 0.000 3.931 3.931 3.931 0.000" Properties=species:S:1:pos:R:3 pbc="T T T"
Ac 0.000 0.000 0.000
Nd 5.897 5.897 5.897
Sc 1.966 1.966 1.966
Tl 3.931 3.931 3.931
```

Calculated values
DOS at the Fermi energy (states/eV/f.u.): 8.22
Crystal system: cubic
Space group: F-43m (216)
Calculated density (g cm⁻³): 8.48
ΔE_f (eV/atom): 0.0505

The following is a PBE calculation of crystalline K2Tc2Au at its relaxed geometry, from Alexandria.

Cell and atoms, written as extended XYZ:
```
5
Lattice="-1.740 1.740 10.848 1.740 -1.740 10.848 1.740 1.740 -10.848" Properties=species:S:1:pos:R:3 pbc="T T T"
K 0.000 0.000 2.260
K 0.000 0.000 19.436
Tc 1.740 0.000 5.424
Tc 0.000 1.740 5.424
Au 0.000 0.000 10.848
```

Calculated values
DOS at the Fermi energy (states/eV/f.u.): 3.46
Crystal system: tetragonal
Space group: I4/mmm (139)
Calculated density (g cm⁻³): 5.95
ΔE_f (eV/atom): 0.5088
Relative energy among the computed polymorphs (meV per atom): 0

The following is a PBE calculation of crystalline PaSi4Ru4 at its relaxed geometry, from Alexandria.

Cell and atoms, written as extended XYZ:
```
18
Lattice="5.953 0.000 0.000 0.000 5.953 0.000 0.000 0.000 7.935" Properties=species:S:1:pos:R:3 pbc="T T T"
Pa 1.488 4.465 1.984
Pa 4.465 1.488 5.951
Si 0.314 1.488 0.709
Si 1.488 0.314 4.676
Si 1.488 2.662 4.676
Si 2.662 1.488 0.709
Si 3.291 4.465 7.226
Si 4.465 3.291 3.258
Si 4.465 5.639 3.258
Si 5.639 4.465 7.226
Ru 0.050 1.488 3.103
Ru 1.488 0.050 7.071
Ru 1.488 2.927 7.071
Ru 2.927 1.488 3.103
Ru 3.026 4.465 4.831
Ru 4.465 3.026 0.864
Ru 4.465 5.903 0.864
Ru 5.903 4.465 4.831
```

Calculated values
DOS at the Fermi energy (states/eV/f.u.): 6.08
Crystal system: tetragonal
Space group: P4_2/nmc (137)
Calculated density (g cm⁻³): 8.83
Energy relative to the elements, uncorrected (eV/atom): -0.565

The following is a PBE calculation of crystalline LaPm5NdHo2 at its relaxed geometry, from Alexandria.

Cell and atoms, written as extended XYZ:
```
18
Lattice="2.860 -10.135 0.000 2.860 10.135 0.000 0.000 0.000 10.747" Properties=species:S:1:pos:R:3 pbc="T T T"
La 2.860 8.461 5.374
La 2.860 -8.461 0.000
Pm 2.860 9.686 8.498
Pm 2.860 7.897 0.836
Pm 2.860 5.998 8.133
Pm 2.860 5.706 3.900
Pm 2.860 0.341 0.838
Pm 2.860 -0.341 6.211
Pm 2.860 -5.706 9.274
Pm 2.860 -5.998 2.760
Pm 2.860 -7.897 6.210
Pm 2.860 -9.686 3.125
Nd 2.860 4.089 0.669
Nd 2.860 -4.089 6.043
Ho 2.860 2.354 4.026
Ho 2.860 2.265 8.434
Ho 2.860 -2.265 3.061
Ho 2.860 -2.354 9.399
```

Calculated values
DOS at the Fermi energy (states/eV/f.u.): 13.93
Crystal system: orthorhombic
Space group: Cmc2_1 (36)
Calculated density (g cm⁻³): 7.13
ΔE_f (eV/atom): 0.1484

The following is a PBE calculation of crystalline CaNdCd2Hg4 at its relaxed geometry, from Alexandria.

Cell and atoms, written as extended XYZ:
```
8
Lattice="2.565 1.481 8.626 -2.565 1.481 8.626 0.000 -2.961 8.626" Properties=species:S:1:pos:R:3 pbc="T T T"
Ca 0.000 0.000 0.000
Nd 0.000 0.000 12.938
Cd 0.000 0.000 6.465
Cd 0.000 0.000 19.412
Hg 0.000 0.000 3.158
Hg 0.000 0.000 9.701
Hg 0.000 0.000 16.176
Hg 0.000 0.000 22.719
```

Calculated values
DOS at the Fermi energy (states/eV/f.u.): 3.09
Crystal system: trigonal
Space group: R-3m (166)
Calculated density (g cm⁻³): 10.24
ΔE_f (eV/atom): -0.3884

The following is a PBE calculation of crystalline La2Pr5SmHo at its relaxed geometry, from Alexandria.

Cell and atoms, written as extended XYZ:
```
18
Lattice="-4.384 4.384 8.398 4.384 -4.384 8.398 4.384 4.384 -8.398" Properties=species:S:1:pos:R:3 pbc="T T T"
La 5.443 1.059 0.000
La 1.059 3.325 0.000
La 3.325 1.059 8.398
La -1.059 3.325 8.398
Pr 0.000 0.000 0.000
Pr 2.453 1.931 -2.418
Pr 2.453 -1.931 5.980
Pr 2.453 1.931 2.418
Pr 2.453 -1.931 10.816
Pr 0.000 0.000 8.398
Pr 1.931 6.315 -2.418
Pr 1.931 2.453 5.980
Pr 1.931 6.315 2.418
Pr 1.931 2.453 10.816
Sm 0.000 0.000 4.199
Sm 0.000 0.000 12.598
Ho 4.384 0.000 4.199
Ho 0.000 4.384 4.199
```

Calculated values
DOS at the Fermi energy (states/eV/f.u.): 14.00
Crystal system: tetragonal
Space group: I4/mcm (140)
Calculated density (g cm⁻³): 6.67
ΔE_f (eV/atom): 0.2451

The following is a PBE calculation of crystalline SrBiTeN2 at its relaxed geometry, from Alexandria.

Cell and atoms, written as extended XYZ:
```
5
Lattice="4.574 0.000 0.000 0.000 4.574 0.000 0.000 0.000 6.223" Properties=species:S:1:pos:R:3 pbc="T T T"
Sr 0.000 0.000 0.000
Bi 2.287 2.287 3.112
Te 2.287 2.287 0.000
N 0.000 2.287 3.112
N 2.287 0.000 3.112
```

Calculated values
DOS at the Fermi energy (states/eV/f.u.): 3.59
Crystal system: tetragonal
Space group: P4/mmm (123)
Calculated density (g cm⁻³): 5.77
Energy relative to the elements, uncorrected (eV/atom): 0.701

The following is a PBE calculation of crystalline NaIn2RuPb at its relaxed geometry, from Alexandria.

Cell and atoms, written as extended XYZ:
```
5
Lattice="5.233 0.000 0.000 0.000 5.233 0.000 0.000 0.000 5.247" Properties=species:S:1:pos:R:3 pbc="T T T"
Na 0.000 0.000 0.000
In 0.000 2.616 2.624
In 2.616 0.000 2.624
Ru 2.616 2.616 2.624
Pb 2.616 2.616 0.000
```

Calculated values
DOS at the Fermi energy (states/eV/f.u.): 3.31
Crystal system: tetragonal
Space group: P4/mmm (123)
Calculated density (g cm⁻³): 6.48
ΔE_f (eV/atom): 0.0517

The following is a PBE calculation of crystalline Ca3AlP3 at its relaxed geometry, from Alexandria.

Cell and atoms, written as extended XYZ:
```
28
Lattice="12.030 0.000 0.000 0.000 4.079 0.000 0.000 0.000 13.107" Properties=species:S:1:pos:R:3 pbc="T T T"
Ca 0.858 1.020 1.373
Ca 1.737 3.059 6.578
Ca 2.724 3.059 10.362
Ca 3.291 1.020 3.809
Ca 4.278 1.020 0.024
Ca 5.157 3.059 7.926
Ca 6.873 1.020 5.181
Ca 7.752 3.059 13.083
Ca 8.739 3.059 9.298
Ca 9.307 1.020 2.745
Ca 10.293 1.020 6.530
Ca 11.172 3.059 11.734
Al 0.681 1.020 9.211
Al 5.334 3.059 2.658
Al 6.696 1.020 10.450
Al 11.350 3.059 3.896
P 0.507 1.020 4.595
P 1.174 1.020 11.570
P 2.891 1.020 8.217
P 3.125 3.059 1.663
P 4.841 3.059 5.016
P 5.509 3.059 11.149
P 6.522 1.020 1.959
P 7.189 1.020 8.091
P 8.906 1.020 11.444
P 9.140 3.059 4.890
P 10.857 3.059 1.537
P 11.524 3.059 8.512
```

Calculated values
Crystal system: orthorhombic
Space group: Pnma (62)
Calculated density (g cm⁻³): 2.48
ΔE_f (eV/atom): -1.0867
Relative energy among the computed polymorphs (meV per atom): 0

The following is a PBE calculation of crystalline Rb12In3Au5 at its relaxed geometry, from Alexandria.

Cell and atoms, written as extended XYZ:
```
80
Lattice="-10.620 10.620 10.620 10.620 -10.620 10.620 10.620 10.620 -10.620" Properties=species:S:1:pos:R:3 pbc="T T T"
Rb 3.213 -0.471 1.377
Rb 12.717 6.686 -5.781
Rb 10.149 -1.377 3.213
Rb 16.401 -2.097 3.933
Rb 13.833 0.471 1.377
Rb 12.717 -3.933 5.781
Rb 1.377 3.213 -0.471
Rb 14.553 4.839 -2.097
Rb 6.686 5.781 -2.097
Rb 9.243 3.213 0.471
Rb -0.471 1.377 3.213
Rb 5.781 -2.097 6.686
Rb 10.149 9.243 -3.213
Rb 5.781 2.097 3.933
Rb 9.243 -3.213 10.149
Rb 6.686 -5.781 12.717
Rb 3.933 5.781 2.097
Rb 11.996 7.407 0.471
Rb 3.213 10.149 -1.377
Rb 12.717 3.933 4.839
Rb 5.781 12.717 -3.933
Rb 10.149 1.377 7.407
Rb 2.097 3.933 5.781
Rb 3.213 0.471 9.243
Rb 7.407 10.149 1.377
Rb 8.523 6.686 4.839
Rb 0.471 9.243 3.213
Rb 4.839 -2.097 14.553
Rb -2.097 6.686 5.781
Rb 7.407 0.471 11.996
Rb -1.377 3.213 10.149
Rb 6.686 4.839 8.523
Rb 3.933 16.401 -2.097
Rb 1.377 13.833 0.471
Rb 4.839 8.523 6.686
Rb 0.471 1.377 13.833
Rb 4.839 12.717 3.933
Rb 11.091 9.243 7.407
Rb 1.377 7.407 10.149
Rb 3.933 4.839 12.717
Rb -3.933 5.781 12.717
Rb 9.243 7.407 11.091
Rb -2.097 14.553 4.839
Rb -3.213 10.149 9.243
Rb -5.781 12.717 6.686
Rb 0.471 11.996 7.407
Rb -2.097 3.933 16.401
Rb 7.407 11.091 9.243
In 5.310 2.655 0.000
In 10.620 5.310 -2.655
In 2.655 0.000 5.310
In 13.275 0.000 5.310
In 0.000 5.310 2.655
In 5.310 -2.655 10.620
In 5.310 13.275 0.000
In 10.620 5.310 7.965
In -2.655 10.620 5.310
In 7.965 10.620 5.310
In 0.000 5.310 13.275
In 5.310 7.965 10.620
Au 0.000 0.000 0.000
Au 5.310 5.310 -5.310
Au 5.310 -5.310 5.310
Au 10.620 0.000 0.000
Au 15.930 2.655 0.000
Au 10.620 -5.310 7.965
Au 7.965 10.620 -5.310
Au 7.965 0.000 5.310
Au 5.310 7.965 0.000
Au 10.620 5.310 2.655
Au -5.310 5.310 5.310
Au 0.000 10.620 0.000
Au 0.000 0.000 10.620
Au 5.310 5.310 5.310
Au 0.000 5.310 7.965
Au 5.310 2.655 10.620
Au 2.655 10.620 5.310
Au 2.655 0.000 15.930
Au 0.000 15.930 2.655
Au -5.310 7.965 10.620
```

Calculated values
DOS at the Fermi energy (states/eV/f.u.): 12.72
Crystal system: cubic
Space group: Ia-3d (230)
Calculated density (g cm⁻³): 3.26
ΔE_f (eV/atom): -0.0159

The following is a PBE calculation of crystalline Ta2HRu at its relaxed geometry, from Alexandria.

Cell and atoms, written as extended XYZ:
```
8
Lattice="-2.994 2.994 3.093 2.994 -2.994 3.093 2.994 2.994 -3.093" Properties=species:S:1:pos:R:3 pbc="T T T"
Ta 1.497 1.054 -0.773
Ta 1.940 -1.497 3.867
Ta 1.497 1.940 2.320
Ta 1.054 4.491 0.773
H 0.000 0.000 0.000
H 0.000 2.994 1.547
Ru 2.994 0.000 1.547
Ru 0.000 0.000 3.093
```

Calculated values
DOS at the Fermi energy (states/eV/f.u.): 2.21
Crystal system: tetragonal
Space group: I-42d (122)
Calculated density (g cm⁻³): 13.89
Relative energy among the computed polymorphs (meV per atom): 131

The following is a PBE calculation of crystalline Ac2Pr12Tm5 at its relaxed geometry, from Alexandria.

Cell and atoms, written as extended XYZ:
```
19
Lattice="6.669 -5.904 0.000 6.669 5.904 0.000 -4.374 0.000 8.602" Properties=species:S:1:pos:R:3 pbc="T T T"
Ac 6.669 3.164 0.000
Ac 6.669 -3.164 0.000
Pr 3.268 2.852 1.735
Pr -2.373 0.000 6.698
Pr 2.680 3.359 4.945
Pr 6.285 3.359 3.657
Pr 4.744 0.000 0.504
Pr 5.697 2.852 6.867
Pr 3.268 -2.852 1.735
Pr 4.221 0.000 8.098
Pr 2.680 -3.359 4.945
Pr 6.285 -3.359 3.657
Pr 11.338 0.000 1.905
Pr 5.697 -2.852 6.867
Tm 1.534 0.000 2.112
Tm 1.217 0.000 5.738
Tm 4.482 0.000 4.301
Tm 7.748 0.000 2.864
Tm 7.431 0.000 6.490
```

Calculated values
DOS at the Fermi energy (states/eV/f.u.): 27.02
Crystal system: monoclinic
Space group: C2/m (12)
Calculated density (g cm⁻³): 7.33
ΔE_f (eV/atom): 0.1158

The following is a PBE calculation of crystalline Ba3TeBr3 at its relaxed geometry, from Alexandria.

Cell and atoms, written as extended XYZ:
```
7
Lattice="6.762 0.000 0.000 0.000 6.762 0.000 0.000 0.000 6.762" Properties=species:S:1:pos:R:3 pbc="T T T"
Ba 0.000 0.000 3.381
Ba 0.000 3.381 0.000
Ba 3.381 0.000 0.000
Te 0.000 0.000 0.000
Br 0.000 3.381 3.381
Br 3.381 0.000 3.381
Br 3.381 3.381 0.000
```

Calculated values
DOS at the Fermi energy (states/eV/f.u.): 3.54
Crystal system: cubic
Space group: Pm-3m (221)
Calculated density (g cm⁻³): 4.19
Relative energy among the computed polymorphs (meV per atom): 0
Energy relative to the elements, uncorrected (eV/atom): -1.873

The following is a PBE calculation of crystalline NiSe4 at its relaxed geometry, from Alexandria.

Cell and atoms, written as extended XYZ:
```
5
Lattice="-4.187 4.187 1.635 4.187 -4.187 1.635 4.187 4.187 -1.635" Properties=species:S:1:pos:R:3 pbc="T T T"
Ni 0.000 0.000 0.000
Se 3.320 2.463 0.000
Se 1.724 -0.866 1.635
Se 2.463 5.053 0.000
Se 0.866 1.724 1.635
```

Calculated values
DOS at the Fermi energy (states/eV/f.u.): 2.49
Crystal system: tetragonal
Space group: I4/m (87)
Calculated density (g cm⁻³): 5.43
Relative energy among the computed polymorphs (meV per atom): 266
Energy relative to the elements, uncorrected (eV/atom): 0.178

The following is a PBE calculation of crystalline K2VSn4 at its relaxed geometry, from Alexandria.

Cell and atoms, written as extended XYZ:
```
7
Lattice="-2.592 2.592 9.126 2.592 -2.592 9.126 2.592 2.592 -9.126" Properties=species:S:1:pos:R:3 pbc="T T T"
K 0.000 0.000 2.946
K 0.000 0.000 15.306
V 0.000 0.000 9.126
Sn 2.592 0.000 0.000
Sn 0.000 0.000 6.550
Sn 0.000 2.592 0.000
Sn 0.000 0.000 11.702
```

Calculated values
DOS at the Fermi energy (states/eV/f.u.): 4.27
Crystal system: tetragonal
Space group: I4/mmm (139)
Calculated density (g cm⁻³): 4.09
ΔE_f (eV/atom): 0.0279

The following is a PBE calculation of crystalline NdSb3 at its relaxed geometry, from Alexandria.

Cell and atoms, written as extended XYZ:
```
8
Lattice="-3.376 4.471 3.744 3.376 -4.471 3.744 3.376 4.471 -3.744" Properties=species:S:1:pos:R:3 pbc="T T T"
Nd 0.000 2.236 0.406
Nd 3.376 2.236 3.337
Sb 1.688 4.249 -1.872
Sb 1.688 -0.222 1.872
Sb 3.376 2.236 0.000
Sb 0.000 2.236 3.744
Sb -1.688 4.693 1.872
Sb 1.688 4.693 1.872
```

Calculated values
DOS at the Fermi energy (states/eV/f.u.): 1.90
Crystal system: orthorhombic
Space group: Imma (74)
Calculated density (g cm⁻³): 7.49
Relative energy among the computed polymorphs (meV per atom): 25
Energy relative to the elements, uncorrected (eV/atom): -0.486